No. 1
The following is a DFT calculation (GGA-PBE) of an optimized crystal structure of AcMg4Hg.

Properties
The calculation puts the formation enthalpy at 0 K at -187 meV/atom. For the final energy, the calculation gives -23.8 eV for the cell shown. Its distance to the lowest polymorph of the same formula is 0 meV/atom.

POSCAR file:
```
AcMg4Hg
1.0
8.637 0.000 0.000
0.000 4.594 0.000
0.000 0.000 8.102
Ac Mg Hg
2 8 2
direct
0.250 0.000 0.120 Ac
0.750 0.000 0.880 Ac
0.000 0.000 0.500 Mg
0.058 0.500 0.803 Mg
0.250 0.500 0.451 Mg
0.442 0.500 0.803 Mg
0.500 0.000 0.500 Mg
0.558 0.500 0.197 Mg
0.750 0.500 0.549 Mg
0.942 0.500 0.197 Mg
0.250 0.000 0.713 Hg
0.750 0.000 0.287 Hg
```

---

No. 2
The following is a DFT calculation (GGA-PBE) of an optimized crystal structure of CaInIr2.

Properties
The calculation puts the formation enthalpy at 0 K at 51 meV/atom. For the final energy, the calculation gives -22.3 eV for the cell shown.

POSCAR file:
```
CaInIr2
1.0
2.956 0.000 0.000
0.000 4.518 0.000
-1.235 0.000 5.650
Ca In Ir
1 1 2
direct
0.000 0.000 0.000 Ca
0.500 0.000 0.500 In
0.333 0.500 0.716 Ir
0.667 0.500 0.284 Ir
```

---

No. 3
The following is a DFT calculation (GGA-PBE) of an optimized crystal structure of LaMg2Au.

Properties
The calculation puts the formation enthalpy at 0 K at -193 meV/atom. For the final energy, the calculation gives -36.5 eV for the cell shown.

POSCAR file:
```
LaMg2Au
1.0
3.605 0.000 0.000
-1.803 3.122 0.000
0.000 0.000 28.214
La Mg Au
3 6 3
direct
0.000 0.000 0.000 La
0.333 0.667 0.667 La
0.667 0.333 0.333 La
0.000 0.000 0.229 Mg
0.000 0.000 0.771 Mg
0.333 0.667 0.437 Mg
0.333 0.667 0.896 Mg
0.667 0.333 0.104 Mg
0.667 0.333 0.563 Mg
0.000 0.000 0.500 Au
0.333 0.667 0.167 Au
0.667 0.333 0.833 Au
```

---

No. 4
The following is a DFT calculation (GGA-PBE) of an optimized crystal structure of Np2HPt9.

Properties
For the final energy, the calculation gives -86.8 eV for the cell shown.

POSCAR file:
```
Np2HPt9
1.0
4.123 0.000 0.000
0.000 4.123 0.000
0.000 0.000 11.672
Np H Pt
2 1 9
direct
0.000 0.000 0.182 Np
0.000 0.000 0.818 Np
0.000 0.000 0.500 H
0.000 0.500 0.000 Pt
0.000 0.500 0.352 Pt
0.000 0.500 0.648 Pt
0.500 0.000 0.000 Pt
0.500 0.000 0.352 Pt
0.500 0.000 0.648 Pt
0.500 0.500 0.176 Pt
0.500 0.500 0.500 Pt
0.500 0.500 0.824 Pt
```

---

No. 5
The following is a DFT calculation (GGA-PBE) of an optimized crystal structure of K3Eu.

Properties
The calculation puts the formation enthalpy at 0 K at 147 meV/atom. For the final energy, the calculation gives -13.0 eV for the cell shown. Its distance to the lowest polymorph of the same formula is 0 meV/atom.

POSCAR file:
```
K3Eu
1.0
4.297 0.000 0.000
0.000 7.442 0.000
0.000 0.000 8.038
K Eu
3 1
direct
0.000 0.000 0.000 K
0.000 0.500 0.314 K
0.500 0.500 0.801 K
0.500 0.000 0.498 Eu
```

---

No. 6
The following is a DFT calculation (GGA-PBE) of an optimized crystal structure of KTiRe3.

Properties
The calculation puts the formation enthalpy at 0 K at 2112 meV/atom. For the final energy, the calculation gives -35.8 eV for the cell shown. Its distance to the lowest polymorph of the same formula is 0 meV/atom.

POSCAR file:
```
KTiRe3
1.0
4.740 0.000 0.000
0.000 4.740 0.000
0.000 0.000 4.740
K Ti Re
1 1 3
direct
0.000 0.000 0.000 K
0.500 0.500 0.500 Ti
0.000 0.500 0.500 Re
0.500 0.000 0.500 Re
0.500 0.500 0.000 Re
```

---

No. 7
The following is a DFT calculation (GGA-PBE) of an optimized crystal structure of BaSrTe3.

Properties
For the uncorrected formation energy, the calculation gives -0.47 eV/atom. For the final energy, the calculation gives -15.4 eV for the cell shown. Its distance to the lowest polymorph of the same formula is 326 meV/atom.

POSCAR file:
```
BaSrTe3
1.0
6.322 0.000 0.000
0.000 6.322 0.000
0.000 0.000 6.322
Ba Sr Te
1 1 3
direct
0.000 0.000 0.000 Ba
0.500 0.500 0.500 Sr
0.000 0.000 0.500 Te
0.000 0.500 0.000 Te
0.500 0.000 0.000 Te
```

---

No. 8
The following is a DFT calculation (GGA-PBE) of an optimized crystal structure of HgBrCl2.

Properties
For the uncorrected formation energy, the calculation gives -0.26 eV/atom. For the final energy, the calculation gives -13.4 eV for the cell shown. Its distance to the lowest polymorph of the same formula is 0 meV/atom.

POSCAR file:
```
HgBrCl2
1.0
4.181 0.000 0.000
0.000 10.650 0.000
-0.451 0.000 6.896
Hg Br Cl
2 2 4
direct
0.246 0.250 0.271 Hg
0.754 0.750 0.729 Hg
0.153 0.750 0.475 Br
0.847 0.250 0.525 Br
0.492 0.120 0.005 Cl
0.492 0.380 0.005 Cl
0.508 0.620 0.995 Cl
0.508 0.880 0.995 Cl
```

---

No. 9
The following is a DFT calculation (GGA-PBE) of an optimized crystal structure of Pu11Hg9Rh4.

Properties
The calculation puts the formation enthalpy at 0 K at -239 meV/atom. For the final energy, the calculation gives -195.5 eV for the cell shown.

POSCAR file:
```
Pu11Hg9Rh4
1.0
7.526 -10.687 0.000
7.526 10.687 0.000
0.000 0.000 3.588
Pu Hg Rh
11 9 4
direct
0.000 0.000 0.000 Pu
0.075 0.426 0.000 Pu
0.149 0.851 0.000 Pu
0.312 0.312 0.000 Pu
0.368 0.632 0.000 Pu
0.426 0.075 0.000 Pu
0.574 0.925 0.000 Pu
0.632 0.368 0.000 Pu
0.688 0.688 0.000 Pu
0.851 0.149 0.000 Pu
0.925 0.574 0.000 Pu
0.077 0.222 0.500 Hg
0.154 0.643 0.500 Hg
0.222 0.077 0.500 Hg
0.357 0.846 0.500 Hg
0.500 0.500 0.500 Hg
0.643 0.154 0.500 Hg
0.778 0.923 0.500 Hg
0.846 0.357 0.500 Hg
0.923 0.778 0.500 Hg
0.247 0.448 0.500 Rh
0.448 0.247 0.500 Rh
0.552 0.753 0.500 Rh
0.753 0.552 0.500 Rh
```

---

No. 10
The following is a DFT calculation (GGA-PBE) of an optimized crystal structure of YHo2In.

Properties
The calculation puts the formation enthalpy at 0 K at -217 meV/atom. For the final energy, the calculation gives -38.5 eV for the cell shown. Its distance to the lowest polymorph of the same formula is 50 meV/atom.

POSCAR file:
```
YHo2In
1.0
5.396 0.000 0.000
0.000 3.671 0.000
0.000 0.000 11.656
Y Ho In
2 4 2
direct
0.250 0.000 0.091 Y
0.750 0.000 0.909 Y
0.250 0.000 0.597 Ho
0.250 0.500 0.340 Ho
0.750 0.000 0.403 Ho
0.750 0.500 0.660 Ho
0.250 0.500 0.838 In
0.750 0.500 0.162 In
```